! Pr2Y4Th PBE relaxed; values from VASP
&SYSTEM
  ibrav = 0, nat = 7, ntyp = 3
/
ATOMIC_SPECIES
Pr 140.91 Pr.upf
Y 88.91 Y.upf
Th 232.04 Th.upf
CELL_PARAMETERS angstrom
1.798 1.038 21.184
-1.798 1.038 21.184
0.000 -2.076 21.184
ATOMIC_POSITIONS angstrom
Pr 0.000 0.000 14.955
Pr 0.000 0.000 48.596
Y 0.000 0.000 9.135
Y 0.000 0.000 18.416
Y 0.000 0.000 45.135
Y 0.000 0.000 54.416
Th 0.000 0.000 0.000
! uncorrected energy: -6.0473 eV/atom
! formation energy from the elements: 0.072 eV per atom
! symmetry: R-3m

! Pa3Ga5Mo PBE relaxed; values from VASP
&SYSTEM
  ibrav = 0, nat = 18, ntyp = 3
/
ATOMIC_SPECIES
Pa 231.04 Pa.upf
Ga 69.72 Ga.upf
Mo 95.94 Mo.upf
CELL_PARAMETERS angstrom
8.585 0.000 0.000
-4.292 7.435 0.000
0.000 0.000 5.767
ATOMIC_POSITIONS angstrom
Pa -1.642 2.844 1.442
Pa -2.651 4.591 4.325
Pa 3.284 0.000 1.442
Pa 1.642 2.844 4.325
Pa 5.301 0.000 4.325
Pa 2.651 4.591 1.442
Ga -1.145 1.983 4.325
Ga -3.148 5.452 1.442
Ga 2.290 0.000 4.325
Ga 1.145 1.983 1.442
Ga 0.000 4.956 0.000
Ga 0.000 4.956 2.883
Ga 4.292 2.478 0.000
Ga 4.292 2.478 2.883
Ga 6.295 0.000 1.442
Ga 3.148 5.452 4.325
Mo 0.000 0.000 0.000
Mo 0.000 0.000 2.883
! uncorrected energy: -6.2860 eV/atom
! formation energy from the elements: -0.236 eV per atom
! symmetry: P6_3/mcm

! La2PmPr3Te6 PBE relaxed; values from VASP
&SYSTEM
  ibrav = 0, nat = 12, ntyp = 4
/
ATOMIC_SPECIES
La 138.91 La.upf
Pm 145.00 Pm.upf
Pr 140.91 Pr.upf
Te 127.60 Te.upf
CELL_PARAMETERS angstrom
9.875 -2.264 0.000
9.875 2.264 0.000
-2.067 0.000 8.869
ATOMIC_POSITIONS angstrom
La 2.589 0.000 2.944
La 15.094 0.000 5.925
Pm 9.875 0.000 0.000
Pr 1.590 0.000 7.399
Pr 8.842 0.000 4.434
Pr 16.093 0.000 1.470
Te -1.531 0.000 6.688
Te 5.729 0.000 3.686
Te 4.721 0.000 8.153
Te 12.962 0.000 0.716
Te 11.954 0.000 5.183
Te 19.214 0.000 2.180
! E_form (uncorrected): -17.87 eV/f.u.
! uncorrected energy: -5.4720 eV/atom
! symmetry: C2/m

! Ac2YP2N6 PBE relaxed; values from VASP
&SYSTEM
  ibrav = 0, nat = 11, ntyp = 4
/
ATOMIC_SPECIES
Ac 227.00 Ac.upf
Y 88.91 Y.upf
P 30.97 P.upf
N 14.01 N.upf
CELL_PARAMETERS angstrom
2.856 1.649 5.993
-2.856 1.649 5.993
0.000 -3.298 5.993
ATOMIC_POSITIONS angstrom
Ac 0.000 0.000 3.840
Ac 0.000 0.000 14.140
Y 0.000 0.000 0.000
P 0.000 0.000 7.388
P 0.000 0.000 10.592
N -1.374 -0.793 10.367
N 0.000 -1.587 7.614
N -1.374 0.793 7.614
N 1.374 -0.793 10.366
N 0.000 1.587 10.366
N 1.374 0.793 7.614
! E_form (uncorrected): -11.36 eV/f.u.
! uncorrected energy: -7.8919 eV/atom
! symmetry: R-3m

! LaYHg2 PBE relaxed; values from VASP
&SYSTEM
  ibrav = 0, nat = 4, ntyp = 3
/
ATOMIC_SPECIES
La 138.91 La.upf
Y 88.91 Y.upf
Hg 200.59 Hg.upf
CELL_PARAMETERS angstrom
1.900 1.097 9.807
-1.900 1.097 9.807
0.000 -2.194 9.807
ATOMIC_POSITIONS angstrom
La 0.000 0.000 0.000
Y 0.000 0.000 22.574
Hg 0.000 0.000 7.329
Hg 0.000 0.000 15.015
! uncorrected energy: -3.1757 eV/atom
! formation energy from the elements: -0.177 eV per atom
! symmetry: R3m

! TbErGeRu PBE relaxed; values from VASP
&SYSTEM
  ibrav = 0, nat = 4, ntyp = 4
/
ATOMIC_SPECIES
Tb 158.93 Tb.upf
Er 167.26 Er.upf
Ge 72.64 Ge.upf
Ru 101.07 Ru.upf
CELL_PARAMETERS angstrom
3.848 0.000 0.000
0.000 2.116 5.428
0.000 -2.116 5.428
ATOMIC_POSITIONS angstrom
Tb 0.000 0.000 0.000
Er 1.924 0.000 7.796
Ge 1.924 0.000 4.574
Ru 0.000 0.000 2.900
! uncorrected energy: -6.4037 eV/atom
! formation energy from the elements: -0.632 eV per atom
! symmetry: Amm2

Q: Which formula does entry 3 have?
A: La2PmPr3Te6

Q: What is the formula in the fourth record?
A: Ac2YP2N6

Q: Which of these has the highest uncorrected energy?
A: LaYHg2